Here is PrY5Ho12 after structural relaxation from the Alexandria database. Energies are from PBE-GGA.

```
PrY5Ho12
1.0
7.521 -7.535 0.000
7.521 7.535 0.000
0.000 0.000 5.017
Pr Y Ho
1 5 12
Direct
0.000 0.000 0.000 Pr
0.168 0.832 0.500 Y
0.334 0.666 0.000 Y
0.500 0.500 0.500 Y
0.666 0.334 0.000 Y
0.832 0.168 0.500 Y
0.001 0.336 0.000 Ho
0.166 0.499 0.500 Ho
0.169 0.169 0.500 Ho
0.333 0.333 0.000 Ho
0.336 0.001 0.000 Ho
0.499 0.166 0.500 Ho
0.501 0.834 0.500 Ho
0.664 0.999 0.000 Ho
0.667 0.667 0.000 Ho
0.831 0.831 0.500 Ho
0.834 0.501 0.500 Ho
0.999 0.664 0.000 Ho
```

- Total magnetization: 0.000 μB per cell

---

Here is PrY2Ho5 after structural relaxation from the Alexandria database. Energies are from PBE-GGA.

```
PrY2Ho5
1.0
7.127 0.000 0.000
0.000 14.262 0.000
0.000 0.000 5.024
Pr Y Ho
2 4 10
Direct
0.000 0.000 0.000 Pr
0.500 0.500 0.000 Pr
0.249 0.374 0.500 Y
0.251 0.874 0.500 Y
0.749 0.126 0.500 Y
0.751 0.626 0.500 Y
0.000 0.251 0.000 Ho
0.000 0.500 0.000 Ho
0.000 0.749 0.000 Ho
0.249 0.626 0.500 Ho
0.251 0.126 0.500 Ho
0.500 0.000 0.000 Ho
0.500 0.249 0.000 Ho
0.500 0.751 0.000 Ho
0.749 0.874 0.500 Ho
0.751 0.374 0.500 Ho
```

- Excess energy over the best structure of this formula in the dataset: 0.095 eV/f.u.
- Total magnetization: 0.000 μB per cell

---

ΔE_f
In order: 0.02; 0.02
Unit: eV/atom
Energy
In order: -5.0893; -5.0534
Unit: eV/atom